Dy11Sn10 after structural relaxation. Source: Alexandria via LeMat-Bulk, functional PBE.

N(E_F): 26.13 states/eV/cell
Volume: 27.5 Å³/atom
Crystal system: tetragonal
E: -212.3 eV per cell
SG: I4/mmm

Cell lengths 11.8543, 11.8543, 11.8543 Å; angles 121.22, 121.22, 87.90 degrees
Closest atoms and distances in Å follow each position.
Fractional coordinates of all 42 atoms:
1 Dy 0.8113 0.0626 0.2512  5 Sn 3.08-3.44
2 Dy 0.8113 0.5601 0.7488  5 Sn 3.08-3.44
3 Dy 0.0626 0.8113 0.2512  5 Sn 3.08-3.44
4 Dy 0.5601 0.8113 0.7488  5 Sn 3.08-3.44
5 Dy 0.1887 0.9374 0.7488  5 Sn 3.08-3.44
6 Dy 0.1887 0.4399 0.2512  5 Sn 3.08-3.44
7 Dy 0.9374 0.1887 0.7488  5 Sn 3.08-3.44
8 Dy 0.4399 0.1887 0.2512  5 Sn 3.08-3.44
9 Dy 0.1736 0.1736 0.3471  3 Sn 2.93-3.24
10 Dy 0.8264 0.8264 0.6529  3 Sn 2.93-3.24
11 Dy 0.1736 0.8264 0.0000  3 Sn 2.93-3.24
12 Dy 0.8264 0.1736 0.0000  3 Sn 2.93-3.24
13 Dy 0.6660 0.6660 0.0000  9 Sn 3.39-3.79
14 Dy 0.3340 0.3340 0.0000  9 Sn 3.39-3.79
15 Dy 0.6022 0.9333 0.3310  7 Sn 3.07-3.29
16 Dy 0.6022 0.2712 0.6690  7 Sn 3.07-3.29
17 Dy 0.9333 0.6022 0.3310  7 Sn 3.07-3.29
18 Dy 0.2712 0.6022 0.6690  7 Sn 3.07-3.29
19 Dy 0.3978 0.0667 0.6690  7 Sn 3.07-3.29
20 Dy 0.3978 0.7288 0.3310  7 Sn 3.07-3.29
21 Dy 0.0667 0.3978 0.6690  7 Sn 3.07-3.29
22 Dy 0.7288 0.3978 0.3310  7 Sn 3.07-3.29
23 Sn 0.3558 0.0000 0.3558  6 Dy 2.93-3.12
24 Sn 0.6442 0.0000 0.6442  6 Dy 2.93-3.12
25 Sn 0.0000 0.6442 0.6442  6 Dy 2.93-3.12
26 Sn 0.0000 0.3558 0.3558  6 Dy 2.93-3.12
27 Sn 0.8880 0.8880 0.0000  8 Dy 3.20-3.44
28 Sn 0.1120 0.1120 0.0000  8 Dy 3.20-3.44
29 Sn 0.3706 0.3706 0.7411  4 Sn 3.01-3.26, 5 Dy 3.24-3.29
30 Sn 0.6294 0.6294 0.2589  4 Sn 3.01-3.26, 5 Dy 3.24-3.29
31 Sn 0.3706 0.6294 0.0000  4 Sn 3.01-3.26, 5 Dy 3.24-3.29
32 Sn 0.6294 0.3706 0.0000  4 Sn 3.01-3.26, 5 Dy 3.24-3.29
33 Sn 0.7500 0.2500 0.5000  8 Dy 3.08-3.20
34 Sn 0.2500 0.7500 0.5000  8 Dy 3.08-3.20
35 Sn 0.8818 0.8818 0.4116  2 Sn 2.91-3.26, 2 Dy 3.07
36 Sn 0.4702 0.4702 0.5884  2 Sn 2.91-3.26, 2 Dy 3.07
37 Sn 0.8818 0.4702 0.0000  2 Sn 2.91-3.26, 2 Dy 3.07
38 Sn 0.4702 0.8818 0.0000  2 Sn 2.91-3.26, 2 Dy 3.07
39 Sn 0.1182 0.1182 0.5884  2 Sn 2.91-3.26, 2 Dy 3.07
40 Sn 0.5298 0.5298 0.4116  2 Sn 2.91-3.26, 2 Dy 3.07
41 Sn 0.1182 0.5298 0.0000  2 Sn 2.91-3.26, 2 Dy 3.07
42 Sn 0.5298 0.1182 0.0000  2 Sn 2.91-3.26, 2 Dy 3.07

=====

OsSF2 after structural relaxation. Source: Alexandria via LeMat-Bulk, functional PBE.

N(E_F): 2.69 states/eV/cell
Volume: 15.9 Å³/atom
Crystal system: trigonal
SG: R-3m
Energy relative to the lowest polymorph listed for this composition: 0.0000 eV per atom

Cell lengths 10.5092, 10.5092, 10.5092 Å; angles 14.52, 14.52, 14.52 degrees
Closest atoms and distances in Å follow each position.
Fractional coordinates of all 4 atoms:
1 S 0.5000 0.5000 0.5000  6 S 2.66
2 Os 0.0000 0.0000 0.0000  2 F 1.89
3 F 0.9395 0.9395 0.9395  1 Os 1.89
4 F 0.0605 0.0605 0.0605  1 Os 1.89

=====

AlTe2Os after structural relaxation. Source: Alexandria via LeMat-Bulk, functional PBE.

N(E_F): 4.53 states/eV/cell
Volume: 28.2 Å³/atom
Crystal system: tetragonal
E: -39.4 eV per cell
SG: I-42d

Cell lengths 6.0801, 6.0801, 7.4665 Å; angles 65.97, 65.97, 90.00 degrees
Closest atoms and distances in Å follow each position.
Fractional coordinates of all 8 atoms:
1 Te 0.6467 0.1250 0.2500  2 Os 2.56, 2 Al 2.71
2 Te 0.1033 0.6250 0.2500  2 Os 2.56, 2 Al 2.71
3 Te 0.3750 0.3533 0.7500  2 Os 2.56, 2 Al 2.71
4 Te 0.8750 0.8967 0.7500  2 Os 2.56, 2 Al 2.71
5 Os 0.0000 0.0000 0.0000  4 Te 2.56
6 Os 0.7500 0.2500 0.5000  4 Te 2.56
7 Al 0.5000 0.5000 0.0000  4 Te 2.71
8 Al 0.2500 0.7500 0.5000  4 Te 2.71

=====

DyPuZnSi after structural relaxation. Source: Alexandria via LeMat-Bulk, functional PBE.

N(E_F): 8.68 states/eV/cell
Volume: 21.9 Å³/atom
Crystal system: cubic
E: -26.9 eV per cell
SG: F-43m

Cell lengths 4.9836, 4.9836, 4.9836 Å; angles 60.00, 60.00, 60.00 degrees
Closest atoms and distances in Å follow each position.
Fractional coordinates of all 4 atoms:
1 Zn 0.2500 0.2500 0.2500  4 Dy 3.05, 4 Pu 3.05
2 Dy 0.5000 0.5000 0.5000  4 Zn 3.05, 4 Si 3.05
3 Si 0.7500 0.7500 0.7500  4 Pu 3.05, 4 Dy 3.05
4 Pu 0.0000 0.0000 0.0000  4 Si 3.05, 4 Zn 3.05

=====

Fe3P2 after structural relaxation. Source: Alexandria via LeMat-Bulk, functional PBE.

N(E_F): 2.88 states/eV/cell
Volume: 10.8 Å³/atom
Crystal system: trigonal
E: -36.8 eV per cell
SG: R-3m

Cell lengths 9.0182, 9.0182, 9.0182 Å; angles 16.89, 16.89, 16.89 degrees
Closest atoms and distances in Å follow each position.
Fractional coordinates of all 5 atoms:
1 Fe 0.0000 0.0000 0.0000  6 P 2.32
2 Fe 0.7958 0.7958 0.7958  3 P 2.28, 3 Fe 2.52
3 Fe 0.2042 0.2042 0.2042  3 P 2.28, 3 Fe 2.52
4 P 0.3989 0.3989 0.3989  6 Fe 2.28-2.32
5 P 0.6011 0.6011 0.6011  6 Fe 2.28-2.32

=====

PrScCo10 after structural relaxation. Source: Alexandria via LeMat-Bulk, functional PBE.

N(E_F): 17.43 states/eV/cell
Volume: 13.8 Å³/atom
Crystal system: orthorhombic
E: -82.9 eV per cell
SG: Pmmm

Cell lengths 3.9733, 4.8658, 8.5493 Å; angles 90.00, 90.00, 90.00 degrees
Closest atoms and distances in Å follow each position.
Fractional coordinates of all 12 atoms:
1 Pr 0.0000 0.0000 0.0000  18 Co 2.94-3.22
2 Sc 0.0000 0.5000 0.5000  6 Co 2.63-2.77
3 Co 0.0000 0.0000 0.3455  7 Co 2.39-2.64
4 Co 0.0000 0.5000 0.8077  6 Co 2.39-2.58, 1 Sc 2.63
5 Co 0.0000 0.5000 0.1923  6 Co 2.39-2.58, 1 Sc 2.63
6 Co 0.0000 0.0000 0.6545  7 Co 2.39-2.64
7 Co 0.5000 0.0000 0.5000  8 Co 2.39-2.41
8 Co 0.5000 0.5000 0.0000  8 Co 2.51-2.58
9 Co 0.5000 0.2544 0.2585  8 Co 2.39-2.51
10 Co 0.5000 0.7456 0.7415  8 Co 2.39-2.51
11 Co 0.5000 0.7456 0.2585  8 Co 2.39-2.51
12 Co 0.5000 0.2544 0.7415  8 Co 2.39-2.51

=====

K2MgH8S2O12 after structural relaxation. Source: Alexandria via LeMat-Bulk, functional PBE.

N(E_F): 0.00 states/eV/cell
Volume: 11.4 Å³/atom
Crystal system: monoclinic
E: -545.3 eV per cell
SG: P2_1/c

Cell lengths 9.6157, 10.0226, 11.8460 Å; angles 95.71, 90.00, 90.00 degrees
Closest atoms and distances in Å follow each position.
Fractional coordinates of all 100 atoms:
1 K 0.2431 0.2546 0.6658  8 O 2.80-3.09, 3 H 2.93-3.13
2 K 0.7431 0.7454 0.8342  8 O 2.80-3.09, 3 H 2.93-3.13
3 K 0.7569 0.7454 0.3342  8 O 2.80-3.09, 3 H 2.93-3.13
4 K 0.2569 0.2546 0.1658  8 O 2.80-3.09, 3 H 2.93-3.13
5 K 0.7698 0.2369 0.6668  5 O 2.70-2.89, 2 H 2.85-2.99
6 K 0.2698 0.7631 0.8332  5 O 2.70-2.89, 2 H 2.85-2.99
7 K 0.2302 0.7631 0.3332  5 O 2.70-2.89, 2 H 2.85-2.99
8 K 0.7302 0.2369 0.1668  5 O 2.70-2.89, 2 H 2.85-2.99
9 Mg 0.5000 0.0000 0.5000  6 O 2.07-2.11
10 Mg 0.0000 0.0000 0.0000  6 O 2.07-2.11
11 Mg 0.5000 0.5000 0.0000  6 O 2.09-2.13
12 Mg 0.0000 0.5000 0.5000  6 O 2.09-2.13
13 H 0.4870 0.7259 0.4463  1 O 0.99
14 H 0.9870 0.2741 0.0537  1 O 0.99
15 H 0.5130 0.2741 0.5537  1 O 0.99
16 H 0.0130 0.7259 0.9463  1 O 0.99
17 H 0.5227 0.7365 0.5761  1 O 0.99
18 H 0.0227 0.2635 0.9239  1 O 0.99
19 H 0.4773 0.2635 0.4239  1 O 0.99
20 H 0.9773 0.7365 0.0761  1 O 0.99
21 H 0.7806 0.9563 0.5539  1 O 1.00
22 H 0.2806 0.0437 0.9461  1 O 1.00
23 H 0.2194 0.0437 0.4461  1 O 1.00
24 H 0.7194 0.9563 0.0539  1 O 1.00
25 H 0.7792 0.0373 0.4420  1 O 1.00
26 H 0.2792 0.9627 0.0580  1 O 1.00
27 H 0.2208 0.9627 0.5580  1 O 1.00
28 H 0.7208 0.0373 0.9420  1 O 1.00
29 H 0.8653 0.7291 0.5887  1 O 1.00
30 H 0.3653 0.2709 0.9113  1 O 1.00
31 H 0.1347 0.2709 0.4113  1 O 1.00
32 H 0.6347 0.7291 0.0887  1 O 1.00
33 H 0.2447 0.3894 0.4195  1 O 0.99
34 H 0.7447 0.6106 0.0805  1 O 0.99
35 H 0.8637 0.2720 0.4190  1 O 1.00
36 H 0.3637 0.7280 0.0810  1 O 1.00
37 H 0.1363 0.7280 0.5810  1 O 1.00
38 H 0.6363 0.2720 0.9190  1 O 1.00
39 H 0.7634 0.3962 0.4208  1 O 0.99
40 H 0.2634 0.6038 0.0792  1 O 0.99
41 H 0.2366 0.6038 0.5792  1 O 0.99
42 H 0.7366 0.3962 0.9208  1 O 0.99
43 H 0.7553 0.6106 0.5805  1 O 0.99
44 H 0.2553 0.3894 0.9195  1 O 0.99
45 S 0.4954 0.5218 0.7091  4 O 1.48-1.50
46 S 0.5047 0.0473 0.7962  4 O 1.47-1.51
47 S 0.9953 0.0473 0.2962  4 O 1.47-1.51
48 S 0.4953 0.9527 0.2038  4 O 1.47-1.51
49 S 0.0046 0.5218 0.2091  4 O 1.48-1.50
50 S 0.5046 0.4782 0.2909  4 O 1.48-1.50
51 S 0.0047 0.9527 0.7038  4 O 1.47-1.51
52 S 0.9954 0.4782 0.7909  4 O 1.48-1.50
53 O 0.1517 0.5466 0.1778  1 S 1.49
54 O 0.6517 0.4534 0.3222  1 S 1.49
55 O 0.8483 0.4534 0.8222  1 S 1.49
56 O 0.3483 0.5466 0.6778  1 S 1.49
57 O 0.9921 0.0589 0.1721  1 S 1.49
58 O 0.4921 0.9411 0.3279  1 S 1.49
59 O 0.0079 0.9411 0.8279  1 S 1.49
60 O 0.5079 0.0589 0.6721  1 S 1.49
61 O 0.4932 0.0939 0.1795  1 S 1.47
62 O 0.9932 0.9061 0.3205  1 S 1.47
63 O 0.5068 0.9061 0.8205  1 S 1.47
64 O 0.0068 0.0939 0.6795  1 S 1.47
65 O 0.4883 0.4375 0.1664  1 S 1.50
66 O 0.9883 0.5625 0.3336  1 S 1.50
67 O 0.5117 0.5625 0.8336  1 S 1.50
68 O 0.0117 0.4375 0.6664  1 S 1.50
69 O 0.9718 0.3775 0.1823  1 S 1.48
70 O 0.4718 0.6225 0.3177  1 S 1.48
71 O 0.5915 0.6076 0.6477  1 S 1.50
72 O 0.5282 0.3775 0.6823  1 S 1.48
73 O 0.6587 0.3595 0.9636  2 H 0.99-1.00
74 O 0.1587 0.6405 0.5364  2 H 0.99-1.00
75 O 0.3413 0.6405 0.0364  2 H 0.99-1.00
76 O 0.8413 0.3595 0.4636  2 H 0.99-1.00
77 O 0.6574 0.6405 0.0461  2 H 0.99-1.00
78 O 0.1574 0.3595 0.4539  2 H 0.99-1.00
79 O 0.0915 0.3924 0.8523  1 S 1.50
80 O 0.8426 0.6405 0.5461  2 H 0.99-1.00
81 O 0.7804 0.9934 0.9967  2 H 1.00
82 O 0.2804 0.0066 0.5033  2 H 1.00
83 O 0.2196 0.0066 0.0033  2 H 1.00
84 O 0.7196 0.9934 0.4967  2 H 1.00
85 O 0.0052 0.7915 0.0145  2 H 0.99
86 O 0.5052 0.2085 0.4855  2 H 0.99
87 O 0.9948 0.2085 0.9855  2 H 0.99
88 O 0.4948 0.7915 0.5145  2 H 0.99
89 O 0.4085 0.3924 0.3523  1 S 1.50
90 O 0.9085 0.6076 0.1477  1 S 1.50
91 O 0.8748 0.8846 0.6558  1 S 1.51, 1 H 1.68
92 O 0.3748 0.1154 0.8442  1 S 1.51, 1 H 1.68
93 O 0.1252 0.1154 0.3442  1 S 1.51, 1 H 1.68
94 O 0.6252 0.8846 0.1558  1 S 1.51, 1 H 1.68
95 O 0.8700 0.1194 0.3488  1 S 1.51, 2 H 1.67-1.69
96 O 0.3700 0.8806 0.1512  1 S 1.51, 2 H 1.67-1.69
97 O 0.1300 0.8806 0.6512  1 S 1.51, 2 H 1.67-1.69
98 O 0.6300 0.1194 0.8488  1 S 1.51, 2 H 1.67-1.69
99 O 0.3426 0.3595 0.9539  2 H 0.99-1.00
100 O 0.0282 0.6225 0.8177  1 S 1.48

=====

NaPm2Gd after structural relaxation. Source: Alexandria via LeMat-Bulk, functional PBE.

N(E_F): 5.47 states/eV/cell
Volume: 35.2 Å³/atom
Crystal system: trigonal
SG: R-3m
Energy relative to the lowest polymorph listed for this composition: 0.0317 eV per atom

Cell lengths 3.5559, 3.5559, 13.0293 Å; angles 82.16, 82.16, 60.00 degrees
Closest atoms and distances in Å follow each position.
Fractional coordinates of all 4 atoms:
1 Na 0.0000 0.0000 0.0000  2 Pm 3.54, 6 Na 3.56
2 Gd 0.5000 0.5000 0.5000  6 Pm 3.55, 6 Gd 3.56
3 Pm 0.0916 0.0916 0.7251  1 Na 3.54, 3 Gd 3.55, 6 Pm 3.56
4 Pm 0.9084 0.9084 0.2749  1 Na 3.54, 3 Gd 3.55, 6 Pm 3.56